! YTmMg2 | Alexandria via LeMat-Bulk | PBE-GGA | optimized geometry; values from VASP
&SYSTEM
  ibrav = 0, nat = 4, ntyp = 3
/
ATOMIC_SPECIES
Y 88.91 Y.upf
Tm 168.93 Tm.upf
Mg 24.30 Mg.upf
CELL_PARAMETERS angstrom
3.7741 0.0000 0.0000
0.0000 3.7741 0.0000
0.0000 0.0000 7.5720
ATOMIC_POSITIONS angstrom
Y 0.0000 0.0000 0.0000
Tm 0.0000 0.0000 3.7860
Mg 1.8871 1.8871 1.9186
Mg 1.8871 1.8871 5.6533
! polymorph energy (0 for the lowest one)	1.8	meV/atom
! total magnetic moment	0.0	μB per cell
! DFT formation energy	-0.09	eV per atom
! energy	-14.47	eV/cell